Nd4DyY10 after structural relaxation, computed with PBE-GGA.

## Properties
- total magnetic moment (μB per atom) = 0.000
- total energy (eV/cell) = -84.28
- space group = I4/m, No. 87
- ΔE_f (eV/atom) = 0.2691

CIF file:
```
data_Nd4DyY10
_chemical_formula_sum 'Nd4 Dy1 Y10'
_cell_length_a 8.983
_cell_length_b 8.983
_cell_length_c 8.983
_cell_angle_alpha 101.27
_cell_angle_beta 101.27
_cell_angle_gamma 127.52
_symmetry_space_group_name_H-M 'P 1'
_symmetry_Int_Tables_number 1
_symmetry_space_group_name_Hall 'P 1'
loop_
_atom_site_label
_atom_site_type_symbol
_atom_site_fract_x
_atom_site_fract_y
_atom_site_fract_z
_atom_site_occupancy
Nd1 Nd 0.228 0.229 0.457 1
Nd2 Nd 0.229 0.772 0.001 1
Nd3 Nd 0.771 0.228 0.999 1
Nd4 Nd 0.772 0.771 0.543 1
Dy1 Dy 0.000 0.000 0.000 1
Y1 Y 0.082 0.291 0.790 1
Y2 Y 0.250 0.750 0.500 1
Y3 Y 0.291 0.082 0.791 1
Y4 Y 0.291 0.501 0.209 1
Y5 Y 0.499 0.709 0.790 1
Y6 Y 0.501 0.291 0.210 1
Y7 Y 0.709 0.499 0.791 1
Y8 Y 0.709 0.918 0.209 1
Y9 Y 0.750 0.250 0.500 1
Y10 Y 0.918 0.709 0.210 1
```